Density functional theory data (GGA-PBEsol) for LiAgAu2Se after structural relaxation.

Lattice parameters (Å, degrees): 4.4346 4.4346 4.4800 90.00 90.00 90.00
With the nearest neighbours (Å) after each atom.
Space group P4/mmm (No. 123)
Symmetry-distinct sites (fractional):
Li: 0.0000 0.0000 0.0000  4 Au 2.22, 2 Ag 2.24
Ag: 0.0000 0.0000 0.5000  2 Li 2.24
Au: 0.0000 0.5000 0.0000  2 Li 2.22
Se: 0.5000 0.5000 0.5000  4 Ag 3.14, 8 Au 3.15

V = 17.6 Å³/atom
M_tot = 0.000 μB/cell
total energy = -2.965 eV per atom
crystal system = tetragonal

***

Density functional theory data (GGA-PBEsol) for Lu2AgAu after structural relaxation.

Lattice parameters (Å, degrees): 6.9519 6.9519 6.9519 90.00 90.00 90.00
With the nearest neighbours (Å) after each atom.
Space group Fm-3m (No. 225)
Symmetry-distinct sites (fractional):
Lu: 0.2500 0.2500 0.2500  4 Au 3.01, 4 Ag 3.01
Ag: 0.0000 0.0000 0.0000  8 Lu 3.01
Au: 0.0000 0.0000 0.5000  8 Lu 3.01

V = 21.0 Å³/atom
M_tot = 0.001 μB/cell
total energy = -4.894 eV per atom
crystal system = cubic
formation energy = -649 meV per atom

***

Among the records above, which one has the highest M_tot? Lu2AgAu

***

Which value of total energy does entry 2 give? -4.894 eV per atom